Entry 1:
The following is a DFT calculation (PBE) of an optimized crystal structure of NaMgNiAs.

Computed properties:
* E_tot: -51.9 eV for the cell shown

Lattice parameters (Å, degrees): 6.5183 6.5183 6.5183 90.00 90.00 90.00
Space group F-43m (No. 216)
Asymmetric unit:
Na 0.0000 0.0000 0.0000 x4
Mg 0.0000 0.0000 0.5000 x4
Ni 0.2500 0.2500 0.2500 x4
As 0.2500 0.2500 0.7500 x4

---

Entry 2:
The following is a DFT calculation (PBE) of an optimized crystal structure of LiTlNiMo.

Computed properties:
* E_tot: -73.4 eV for the cell shown

Lattice parameters (Å, degrees): 6.3465 6.3465 6.3465 90.00 90.00 90.00
Space group F-43m (No. 216)
Asymmetric unit:
Li 0.0000 0.0000 0.0000 x4
Tl 0.0000 0.0000 0.5000 x4
Ni 0.2500 0.2500 0.7500 x4
Mo 0.2500 0.2500 0.2500 x4

---

Entry 3:
The following is a DFT calculation (PBE) of an optimized crystal structure of DyHoTm2.

Computed properties:
* E_form: 0.0 eV/f.u.

Lattice parameters (Å, degrees): 5.5438 7.1501 12.3835 90.00 90.00 90.00
Space group Amm2 (No. 38)
Asymmetric unit:
Dy 0.0000 0.2496 0.0000 x4
Ho 0.0000 0.0000 0.2495 x2
Ho 0.5000 0.0000 0.5832 x2
Tm 0.0000 0.0000 0.7498 x2
Tm 0.5000 0.0000 0.0828 x2
Tm 0.5000 0.2495 0.8332 x4

---

Entry 4:
The following is a DFT calculation (PBE) of an optimized crystal structure of Tm3Ge7.

Computed properties:
* E_tot: -101.8 eV for the cell shown

Lattice parameters (Å, degrees): 3.9528 24.7658 4.1139 90.00 90.00 90.00
Space group Cmmm (No. 65)
Asymmetric unit:
Tm 0.0000 0.0000 0.0000 x2
Tm 0.0000 0.3134 0.5000 x4
Ge 0.0000 0.0938 0.5000 x4
Ge 0.0000 0.2154 0.0000 x4
Ge 0.0000 0.4048 0.0000 x4
Ge 0.0000 0.5000 0.5000 x2